Material: Ca6Pu
Method: DFT, PBE-GGA
State: optimized geometry

Output
The energy of formation from the pure elements comes out at 1.196 eV/atom. As for the symmetry: Im-3m, No. 229. Its density is 1.93 g/cm3. The density of states at the Fermi level is 31.6 states/eV/cell.

Cell: 8.1487 8.1487 8.1487 Å, 109.47 109.47 109.47°
Closest atoms and distances in Å follow each position.
Positions (direct):
Ca (0.2500, 0.5000, 0.7500)  4 Ca 3.33
Ca (0.2500, 0.7500, 0.5000)  4 Ca 3.33
Ca (0.5000, 0.2500, 0.7500)  4 Ca 3.33
Ca (0.5000, 0.7500, 0.2500)  4 Ca 3.33
Ca (0.7500, 0.2500, 0.5000)  4 Ca 3.33
Ca (0.7500, 0.5000, 0.2500)  4 Ca 3.33
Pu (0.0000, 0.0000, 0.0000)  24 Ca 5.26

Material: Rb3CaPu2Se6
Method: DFT, PBE-GGA
State: optimized geometry

Output
As for the symmetry: C2/m, No. 12. Its density is 5.44 g/cm3. The density of states at the Fermi level is 21.1 states/eV/cell.

Cell: 7.4691 7.4691 8.3287 Å, 98.59 98.59 120.00°
Closest atoms and distances in Å follow each position.
Positions (direct):
Rb (0.0000, 0.0000, 0.0000)  6 Se 3.42-3.51
Rb (0.3372, 0.6628, 0.0000)  6 Se 3.44-3.51
Rb (0.6628, 0.3372, 0.0000)  6 Se 3.44-3.51
Ca (0.5000, 0.5000, 0.5000)  6 Se 3.01
Pu (0.1670, 0.8330, 0.5000)  6 Se 2.89
Pu (0.8330, 0.1670, 0.5000)  6 Se 2.89
Se (0.0889, 0.4349, 0.3052)  2 Pu 2.89, 1 Ca 3.01
Se (0.2188, 0.2188, 0.6936)  2 Pu 2.89, 1 Ca 3.01
Se (0.4349, 0.0889, 0.3052)  2 Pu 2.89, 1 Ca 3.01
Se (0.5651, 0.9111, 0.6948)  2 Pu 2.89, 1 Ca 3.01
Se (0.7812, 0.7812, 0.3064)  2 Pu 2.89, 1 Ca 3.01
Se (0.9111, 0.5651, 0.6948)  2 Pu 2.89, 1 Ca 3.01

Material: CaPu2Re
Method: DFT, PBE-GGA
State: optimized geometry

Output
The energy of formation from the pure elements comes out at 0.209 eV/atom. As for the symmetry: P4/mmm, No. 123. Its density is 11.60 g/cm3. The density of states at the Fermi level is 11.8 states/eV/cell.

Cell: 3.3004 3.3004 9.3888 Å, 90.00 90.00 90.00°
Closest atoms and distances in Å follow each position.
Positions (direct):
Ca (0.0000, 0.0000, 0.0000)  4 Ca 3.30
Pu (0.5000, 0.5000, 0.3127)  4 Re 2.92
Pu (0.5000, 0.5000, 0.6873)  4 Re 2.92
Re (0.0000, 0.0000, 0.5000)  8 Pu 2.92

Number 1: calculated total energy -2.57 eV/atom. Number 2: calculated total energy -6.02 eV/atom. Number 3: calculated total energy -10.57 eV/atom.